(1)
Tl2HRu: relaxed, PBE-GGA.

abc: 4.6712 4.6712 4.6712
angles: 60.00 60.00 60.00
Last column: nearest neighbours and their distance in Å.
Fractional coordinates of all 4 atoms:
Tl: 0.2500 0.2500 0.2500  4 H 2.86, 4 Ru 2.86
H: 0.0000 0.0000 0.0000  8 Tl 2.86
Ru: 0.5000 0.5000 0.5000  8 Tl 2.86
Tl: 0.7500 0.7500 0.7500  4 Ru 2.86, 4 H 2.86

Output
* polymorph energy (0 for the lowest one): 0.179 eV/atom

(2)
TlH2Ru: relaxed, PBE-GGA.

abc: 4.1029 4.1029 6.3159
angles: 71.05 71.05 90.00
Last column: nearest neighbours and their distance in Å.
Fractional coordinates of all 8 atoms:
H: 0.3718 0.6250 0.2500  2 Ru 1.74
H: 0.3750 0.6218 0.7500  2 Ru 1.74
H: 0.8750 0.6282 0.7500  2 Ru 1.74
Ru: 0.5000 0.5000 0.0000  4 H 1.74
Tl: 0.0000 0.0000 0.0000  8 H 2.68-2.70, 4 Ru 2.90
Ru: 0.2500 0.7500 0.5000  4 H 1.74
H: 0.3782 0.1250 0.2500  2 Ru 1.74
Tl: 0.7500 0.2500 0.5000  8 H 2.68-2.70, 4 Ru 2.90

Output
* polymorph energy (0 for the lowest one): 0.000 eV/atom

(3)
Tl2HRu: relaxed, PBE-GGA.

abc: 6.6498 6.6498 5.6488
angles: 53.94 53.94 90.00
Last column: nearest neighbours and their distance in Å.
Fractional coordinates of all 8 atoms:
Ru: 0.7500 0.2500 0.5000  4 Tl 2.77
H: 0.5000 0.5000 0.0000  4 Tl 2.22
Tl: 0.5630 0.1250 0.2500  2 H 2.22
Tl: 0.8750 0.8130 0.7500  2 H 2.22
Tl: 0.1870 0.6250 0.2500  2 H 2.22
Tl: 0.3750 0.4370 0.7500  2 H 2.22
H: 0.2500 0.7500 0.5000  4 Tl 2.22
Ru: 0.0000 0.0000 0.0000  4 Tl 2.77

Output
* polymorph energy (0 for the lowest one): 0.000 eV/atom

(4)
Tl3H12Ru5: relaxed, PBE-GGA.

abc: 10.0020 10.0020 10.0020
angles: 109.47 109.47 109.47
Last column: nearest neighbours and their distance in Å.
Fractional coordinates of all 80 atoms:
H: 0.5156 0.8208 0.9466  2 Ru 1.71-1.77
Ru: 0.7500 0.6250 0.3750  4 H 1.71
Ru: 0.0000 0.0000 0.0000  6 H 1.77
H: 0.1258 0.1948 0.1792  2 Ru 1.71-1.77
Ru: 0.7500 0.1250 0.8750  4 H 1.71
Ru: 0.5000 0.0000 0.5000  6 H 1.77
H: 0.0690 0.1948 0.5156  2 Ru 1.71-1.77
Ru: 0.2500 0.3750 0.6250  4 H 1.71
Tl: 0.3750 0.7500 0.6250  4 H 2.39
Ru: 0.3750 0.1250 0.7500  4 H 1.71
H: 0.4844 0.1792 0.0534  2 Ru 1.71-1.77
H: 0.9466 0.3208 0.5156  2 Ru 1.71-1.77
H: 0.8208 0.5156 0.4466  2 Ru 1.71-1.77
Tl: 0.8750 0.1250 0.2500  4 H 2.39
H: 0.0156 0.4466 0.3208  2 Ru 1.71-1.77
Ru: 0.5000 0.0000 0.0000  6 H 1.77
H: 0.8052 0.8742 0.3208  2 Ru 1.71-1.77
H: 0.4466 0.4310 0.1258  2 Ru 1.71-1.77
H: 0.1948 0.0690 0.0156  2 Ru 1.71-1.77
H: 0.6258 0.6792 0.6948  2 Ru 1.71-1.77
H: 0.8208 0.3052 0.8742  2 Ru 1.71-1.77
H: 0.0534 0.3742 0.0690  2 Ru 1.71-1.77
Ru: 0.3750 0.2500 0.1250  4 H 1.71
H: 0.3742 0.3208 0.3052  2 Ru 1.71-1.77
Tl: 0.8750 0.7500 0.1250  4 H 2.39
H: 0.9844 0.4310 0.8052  2 Ru 1.71-1.77
H: 0.5534 0.9844 0.1792  2 Ru 1.71-1.77
H: 0.6792 0.0534 0.9844  2 Ru 1.71-1.77
Ru: 0.1250 0.7500 0.3750  4 H 1.71
H: 0.6948 0.1792 0.6258  2 Ru 1.71-1.77
H: 0.3052 0.8208 0.3742  2 Ru 1.71-1.77
Tl: 0.1250 0.8750 0.7500  4 H 2.39
Ru: 0.0000 0.0000 0.5000  6 H 1.77
H: 0.0690 0.8742 0.0534  2 Ru 1.71-1.77
Tl: 0.6250 0.2500 0.3750  4 H 2.39
Tl: 0.3750 0.6250 0.2500  4 H 2.39
Tl: 0.7500 0.3750 0.1250  4 H 2.39
Ru: 0.6250 0.8750 0.2500  4 H 1.71
H: 0.9310 0.1258 0.9466  2 Ru 1.71-1.77
Tl: 0.2500 0.1250 0.3750  4 H 2.39
H: 0.3208 0.9466 0.0156  2 Ru 1.71-1.77
H: 0.5690 0.0156 0.6948  2 Ru 1.71-1.77
Ru: 0.5000 0.5000 0.0000  6 H 1.77
H: 0.8052 0.9310 0.9844  2 Ru 1.71-1.77
Tl: 0.7500 0.8750 0.6250  4 H 2.39
Tl: 0.6250 0.3750 0.7500  4 H 2.39
H: 0.4310 0.9844 0.3052  2 Ru 1.71-1.77
Ru: 0.0000 0.5000 0.0000  6 H 1.77
Ru: 0.8750 0.2500 0.6250  4 H 1.71
H: 0.5534 0.5690 0.8742  2 Ru 1.71-1.77
H: 0.8742 0.8052 0.8208  2 Ru 1.71-1.77
H: 0.4310 0.4466 0.6258  2 Ru 1.71-1.77
Ru: 0.2500 0.8750 0.1250  4 H 1.71
H: 0.3052 0.4844 0.4310  2 Ru 1.71-1.77
H: 0.3208 0.3742 0.8052  2 Ru 1.71-1.77
Tl: 0.1250 0.2500 0.8750  4 H 2.39
H: 0.0156 0.5690 0.1948  2 Ru 1.71-1.77
H: 0.9844 0.5534 0.6792  2 Ru 1.71-1.77
Tl: 0.2500 0.6250 0.8750  4 H 2.39
H: 0.1948 0.1258 0.6792  2 Ru 1.71-1.77
H: 0.1258 0.9310 0.4466  2 Ru 1.71-1.77
H: 0.5690 0.5534 0.3742  2 Ru 1.71-1.77
H: 0.9310 0.8052 0.4844  2 Ru 1.71-1.77
H: 0.0534 0.6792 0.4844  2 Ru 1.71-1.77
H: 0.6258 0.9466 0.4310  2 Ru 1.71-1.77
H: 0.1792 0.6948 0.1258  2 Ru 1.71-1.77
Ru: 0.6250 0.7500 0.8750  4 H 1.71
Ru: 0.8750 0.6250 0.7500  4 H 1.71
H: 0.6792 0.6258 0.1948  2 Ru 1.71-1.77
H: 0.6948 0.5156 0.5690  2 Ru 1.71-1.77
H: 0.1792 0.4844 0.5534  2 Ru 1.71-1.77
H: 0.4844 0.3052 0.9310  2 Ru 1.71-1.77
H: 0.5156 0.6948 0.0690  2 Ru 1.71-1.77
H: 0.9466 0.6258 0.9310  2 Ru 1.71-1.77
Ru: 0.5000 0.5000 0.5000  6 H 1.77
H: 0.8742 0.0690 0.5534  2 Ru 1.71-1.77
H: 0.4466 0.0156 0.8208  2 Ru 1.71-1.77
Ru: 0.0000 0.5000 0.5000  6 H 1.77
H: 0.3742 0.0534 0.5690  2 Ru 1.71-1.77
Ru: 0.1250 0.3750 0.2500  4 H 1.71

Output
* E_tot: -4.3200 eV/atom

(5)
TlHRu3: relaxed, PBE-GGA.

abc: 5.0659 5.0659 5.0659
angles: 90.00 90.00 90.00
Last column: nearest neighbours and their distance in Å.
Fractional coordinates of all 5 atoms:
Ru: 0.0000 0.5000 0.0000  2 Tl 2.53
H: 0.5000 0.5000 0.5000  12 Ru 3.58
Ru: 0.5000 0.0000 0.0000  2 Tl 2.53
Tl: 0.0000 0.0000 0.0000  6 Ru 2.53
Ru: 0.0000 0.0000 0.5000  2 Tl 2.53

Output
* polymorph energy (0 for the lowest one): 2.359 eV/atom

(6)
Tl2H5Ru: relaxed, PBE-GGA.

abc: 5.3703 5.3703 5.4767
angles: 60.64 60.64 90.00
Last column: nearest neighbours and their distance in Å.
Fractional coordinates of all 8 atoms:
Tl: 0.7126 0.2125 0.5749  10 H 2.73-2.86, 2 Ru 2.84
H: 0.7984 0.1515 0.0502  1 Ru 1.64
Tl: 0.2126 0.7126 0.5749  10 H 2.73-2.86, 2 Ru 2.84
H: 0.1514 0.7984 0.0502  1 Ru 1.64
H: 0.7984 0.7984 0.0502  1 Ru 1.64
H: 0.1514 0.1514 0.0502  1 Ru 1.64
Ru: 0.0939 0.0940 0.8121  5 H 1.64-1.66
H: 0.3043 0.3043 0.3914  1 Ru 1.66

Output
* E_tot: -3.6904 eV/atom

(7)
Y2TlHRu: relaxed, PBE-GGA.

abc: 5.0775 5.0775 3.7145
angles: 90.00 90.00 90.00
Last column: nearest neighbours and their distance in Å.
Fractional coordinates of all 5 atoms:
H: 0.0000 0.0000 0.0000  2 Ru 1.86
Y: 0.5000 0.0000 0.0000  2 H 2.54
Ru: 0.0000 0.0000 0.5000  2 H 1.86
Y: 0.0000 0.5000 0.0000  2 H 2.54
Tl: 0.5000 0.5000 0.5000  8 Y 3.15

Output
* E_tot: -5.9545 eV/atom

(8)
TmH9Ru2: relaxed, PBE-GGA.

abc: 5.1015 6.2219 6.2219
angles: 80.32 65.80 65.80
Last column: nearest neighbours and their distance in Å.
Fractional coordinates of all 24 atoms:
H: 0.0345 0.9133 0.6821  2 Ru 1.80-1.96, 2 H 1.86-1.97
H: 0.1201 0.1821 0.4133  2 Ru 1.80-1.96, 2 H 1.86-1.97
Tm: 0.2500 0.5000 0.5000  18 H 2.52-2.60, 4 Ru 2.77
Ru: 0.8750 0.2500 0.2500  8 H 1.80-1.96
Ru: 0.8750 0.2500 0.7500  8 H 1.80-1.96
H: 0.1201 0.4133 0.1821  2 Ru 1.80-1.96, 2 H 1.86-1.97
H: 0.7500 0.5000 0.5000  8 H 2.06, 4 Ru 2.11
H: 0.6978 0.5867 0.1821  2 Ru 1.80-1.96, 2 H 1.86-1.97
Tm: 0.5000 0.0000 0.0000  18 H 2.52-2.60, 4 Ru 2.77
H: 0.4666 0.8179 0.4133  2 Ru 1.80-1.96, 2 H 1.86-1.97
H: 0.0345 0.6821 0.9133  2 Ru 1.80-1.96, 2 H 1.86-1.97
H: 0.4666 0.4133 0.8179  2 Ru 1.80-1.96, 2 H 1.86-1.97
H: 0.2834 0.6821 0.0867  2 Ru 1.80-1.96, 2 H 1.86-1.97
Ru: 0.8750 0.7500 0.2500  8 H 1.80-1.96
H: 0.0522 0.3179 0.9133  2 Ru 1.80-1.96, 2 H 1.86-1.97
H: 0.7155 0.5867 0.8179  2 Ru 1.80-1.96, 2 H 1.86-1.97
H: 0.7155 0.8179 0.5867  2 Ru 1.80-1.96, 2 H 1.86-1.97
Ru: 0.3750 0.7500 0.7500  8 H 1.80-1.96
H: 0.6978 0.1821 0.5867  2 Ru 1.80-1.96, 2 H 1.86-1.97
H: 0.6299 0.3179 0.0867  2 Ru 1.80-1.96, 2 H 1.86-1.97
H: 0.6299 0.0867 0.3179  2 Ru 1.80-1.96, 2 H 1.86-1.97
H: 0.0000 0.0000 0.0000  8 H 2.06, 4 Ru 2.11
H: 0.2834 0.0867 0.6821  2 Ru 1.80-1.96, 2 H 1.86-1.97
H: 0.0522 0.9133 0.3179  2 Ru 1.80-1.96, 2 H 1.86-1.97

Output
* E_tot: -4.3812 eV/atom

(9)
TmH4Ru: relaxed, PBE-GGA.

abc: 5.6068 6.0014 5.1203
angles: 104.55 100.91 127.69
Last column: nearest neighbours and their distance in Å.
Fractional coordinates of all 12 atoms:
H: 0.3368 0.8703 0.7379  1 Ru 1.74
Ru: 0.7005 0.9505 0.9011  4 H 1.69-1.74
H: 0.0990 0.1325 0.2621  1 Ru 1.74
H: 0.9010 0.8675 0.7379  1 Ru 1.74
H: 0.9303 0.2742 0.8462  1 Ru 1.69
H: 0.5841 0.4280 0.1538  1 Ru 1.69
Ru: 0.2995 0.0495 0.0989  4 H 1.69-1.74
Tm: 0.3832 0.6332 0.2665  6 H 2.15-2.38
H: 0.4159 0.5720 0.8462  1 Ru 1.69
H: 0.0697 0.7258 0.1538  1 Ru 1.69
Tm: 0.6168 0.3668 0.7335  6 H 2.15-2.38
H: 0.6632 0.1297 0.2621  1 Ru 1.74

Output
* polymorph energy (0 for the lowest one): 0.000 eV/atom

(10)
TmH6Ru: relaxed, PBE-GGA.

abc: 4.3049 4.3049 4.6247
angles: 62.26 62.26 60.00
Last column: nearest neighbours and their distance in Å.
Fractional coordinates of all 8 atoms:
H: 0.9046 0.9046 0.7410  1 Ru 1.69
H: 0.0954 0.5502 0.2590  1 Ru 1.69
H: 0.5502 0.0954 0.2590  1 Ru 1.69
H: 0.9046 0.4498 0.7410  1 Ru 1.69
Tm: 0.5000 0.5000 0.5000  12 H 2.35
Ru: 0.0000 0.0000 0.0000  6 H 1.69
H: 0.4498 0.9046 0.7410  1 Ru 1.69
H: 0.0954 0.0954 0.2590  1 Ru 1.69

Output
* E_tot: -4.3893 eV/atom

(11)
Tm2H7Ru2: relaxed, PBE-GGA.

abc: 4.4635 4.7362 4.7362
angles: 84.93 90.87 90.87
Last column: nearest neighbours and their distance in Å.
Fractional coordinates of all 11 atoms:
H: 0.7913 0.9967 0.5092  2 Ru 1.77-1.97, 1 H 1.87
H: 0.2087 0.4908 0.0033  2 Ru 1.77-1.97, 1 H 1.87
Ru: 0.0611 0.7424 0.7424  6 H 1.77-1.97
H: 0.0000 0.0000 0.0000  2 Ru 1.83
H: 0.2087 0.0033 0.4908  2 Ru 1.77-1.97, 1 H 1.87
Tm: 0.5000 0.2398 0.7602  6 H 2.14-2.18
Ru: 0.9389 0.2576 0.2576  6 H 1.77-1.97
H: 0.8007 0.4943 0.4943  1 Ru 1.78, 1 H 1.78
H: 0.7913 0.5092 0.9967  2 Ru 1.77-1.97, 1 H 1.87
H: 0.1993 0.5057 0.5057  1 Ru 1.78, 1 H 1.78
Tm: 0.5000 0.7602 0.2398  6 H 2.14-2.18

Output
* E_tot: -4.9514 eV/atom

(12)
TmH7Ru2: relaxed, PBE-GGA.

abc: 3.5314 4.9897 4.9898
angles: 111.70 90.00 90.00
Last column: nearest neighbours and their distance in Å.
Fractional coordinates of all 10 atoms:
Ru: 0.5000 0.7074 0.2926  7 H 1.71-1.80
Ru: 0.5000 0.2926 0.7074  7 H 1.71-1.80
H: 0.5000 0.5000 0.5000  2 Ru 1.71
H: 0.5000 0.9283 0.6716  2 Ru 1.76-1.80
H: 0.5000 0.0717 0.3284  2 Ru 1.76-1.80
Tm: 0.0000 0.0000 0.0000  10 H 2.34-2.38
H: 0.0000 0.7113 0.2887  2 Ru 1.77
H: 0.0000 0.2887 0.7113  2 Ru 1.77
H: 0.5000 0.3284 0.0717  2 Ru 1.76-1.80
H: 0.5000 0.6716 0.9283  2 Ru 1.76-1.80

Output
* E_tot: -4.8254 eV/atom

no.,Fermi-level density of states (states/eV/f.u.)
1,2.53
2,1.11
3,4.05
4,13.37
5,5.29
6,2.61
7,1.41
8,2.18
9,0.44
10,3.94
11,3.55
12,4.92